(1)
This record from Alexandria via LeMat-Bulk describes a geometry-optimized MnSiPb4 structure. The functional is PBE.

Cell: 6.356 6.356 6.356 Å, 60.00 60.00 60.00°
Each line ends with the local moment (μB).
Sites, in units of the cell vectors:
Pb (0.875, 0.375, 0.375)  -0.01
Si (0.750, 0.750, 0.750)  -0.03
Pb (0.375, 0.875, 0.375)  -0.01
Pb (0.375, 0.375, 0.875)  -0.01
Pb (0.375, 0.375, 0.375)  -0.01
Mn (0.000, 0.000, 0.000)  4.33

## Properties
- Total energy: -0.302 Ry per atom
- Space group: F-43m, No. 216

(2)
This record from Alexandria via LeMat-Bulk describes a geometry-optimized Co2AgCl structure. The functional is PBE.

Cell: 4.416 4.416 4.416 Å, 60.00 60.00 60.00°
Each line ends with the local moment (μB).
Sites, in units of the cell vectors:
Ag (0.500, 0.500, 0.500)  -0.01
Co (0.000, 0.000, 0.000)  1.80
Cl (0.750, 0.750, 0.750)  0.04
Co (0.250, 0.250, 0.250)  1.86

## Properties
- Total energy: -0.289 Ry per atom
- Relative energy among the computed polymorphs: 587 meV per atom
- Space group: F-43m, No. 216

(3)
This record from Alexandria via LeMat-Bulk describes a geometry-optimized KMg2Rh structure. The functional is PBE.

Cell: 5.058 5.058 3.346 Å, 90.00 90.00 91.14°
Sites, in units of the cell vectors:
Mg (0.000, 0.000, 0.000)
Rh (0.500, 0.000, 0.500)
K (0.000, 0.500, 0.500)
Mg (0.500, 0.500, 0.000)

## Properties
- Formation energy from the elements: 0.334 eV/atom
- Total energy: -0.189 Ry per atom
- Relative energy among the computed polymorphs: 452 meV per atom
- Space group: Cmmm, No. 65

(4)
This record from Alexandria via LeMat-Bulk describes a geometry-optimized ReSiW2 structure. The functional is PBE.

Cell: 2.785 2.785 8.260 Å, 90.00 90.00 109.45°
Sites, in units of the cell vectors:
W (0.000, 0.000, 0.986)
Re (0.000, 0.000, 0.515)
W (0.500, 0.500, 0.253)
Si (0.500, 0.500, 0.746)

## Properties
- Total energy: -0.794 Ry per atom
- Space group: Cmm2, No. 35

(5)
This record from Alexandria via LeMat-Bulk describes a geometry-optimized K3VH structure. The functional is PBE.

Cell: 5.602 5.602 5.602 Å, 90.00 90.00 90.00°
Each line ends with the local moment (μB).
Sites, in units of the cell vectors:
K (0.000, 0.500, 0.000)  0.03
V (0.500, 0.500, 0.500)  3.19
K (0.500, 0.000, 0.000)  0.03
H (0.000, 0.000, 0.000)  0.01
K (0.000, 0.000, 0.500)  0.03

## Properties
- Total energy: -0.185 Ry per atom
- Space group: Pm-3m, No. 221

(6)
This record from Alexandria via LeMat-Bulk describes a geometry-optimized Li4HoCd5 structure. The functional is PBE.

Cell: 3.436 3.436 16.876 Å, 90.00 90.00 90.00°
Each line ends with the local moment (μB).
Sites, in units of the cell vectors:
Li (0.000, 0.000, 0.782)  0.00
Cd (0.500, 0.500, 0.686)  0.00
Cd (0.500, 0.500, 0.874)  0.00
Cd (0.500, 0.500, 0.314)  0.00
Li (0.000, 0.000, 0.593)  0.00
Li (0.000, 0.000, 0.407)  0.00
Cd (0.500, 0.500, 0.500)  0.00
Cd (0.500, 0.500, 0.126)  0.00
Li (0.000, 0.000, 0.218)  0.00
Ho (0.000, 0.000, 0.000)  0.14

## Properties
- Formation energy from the elements: -0.260 eV/atom
- Total energy: -0.143 Ry per atom
- Space group: P4/mmm, No. 123

(7)
This record from Alexandria via LeMat-Bulk describes a geometry-optimized V3Co5Ni3 structure. The functional is PBE.

Cell: 2.711 7.653 7.653 Å, 120.00 90.00 90.00°
Each line ends with the local moment (μB).
Sites, in units of the cell vectors:
Co (0.500, 0.650, 0.650)  0.36
Co (0.500, 0.333, 0.667)  0.73
V (0.000, 0.576, 0.000)  -0.27
Ni (0.500, 0.175, 0.175)  0.01
Co (0.500, 0.000, 0.350)  0.36
Co (0.500, 0.350, 0.000)  0.36
V (0.000, 0.424, 0.424)  -0.27
Ni (0.500, 0.000, 0.825)  0.01
Ni (0.500, 0.825, 0.000)  0.01
Co (0.500, 0.667, 0.333)  0.73
V (0.000, 0.000, 0.576)  -0.27

## Properties
- Formation energy from the elements: 0.333 eV/atom
- Total energy: -0.512 Ry per atom
- Space group: P-62m, No. 189

Q: The highest total energy belongs to which entry?
A: Li4HoCd5

Q: Among the records above, which one has the lowest total energy?
A: ReSiW2